CaCeSc | GGA-PBE | optimized geometry

a b c (Å): 3.4541 3.4541 15.6073
angles (deg): 90.00 90.00 90.00
Closest atoms and distances in Å follow each position.
Fractional positions:
Ca (0.0000, 0.0000, 0.0000)  4 Ca 3.45, 4 Sc 3.64, 4 Ce 3.78
Ca (0.5000, 0.5000, 0.5000)  4 Ca 3.45, 4 Sc 3.64, 4 Ce 3.78
Ce (0.0000, 0.0000, 0.3153)  4 Sc 3.31, 4 Ce 3.45
Ce (0.5000, 0.5000, 0.8153)  4 Sc 3.31, 4 Ce 3.45
Sc (0.0000, 0.0000, 0.6726)  4 Ce 3.31, 4 Sc 3.45, 4 Ca 3.64
Sc (0.5000, 0.5000, 0.1726)  4 Ce 3.31, 4 Sc 3.45, 4 Ca 3.64

Calculated values
Excess energy over the best structure of this formula in the dataset, kJ per mole of atoms: 0.9
N(E_F), states/eV per cell: 14.82
Energy of formation from the pure elements, eV per atom: 0.189
Electronic total energy, Ha/atom: -0.1678